Na3NbHg | PBE-GGA | optimized geometry

Geometry as POSCAR:
```
Na3NbHg
1.0
5.5759 0.0000 0.0000
0.0000 5.5759 0.0000
0.0000 0.0000 5.5759
Na Nb Hg
3 1 1
direct
0.0000 0.0000 0.5000
0.0000 0.5000 0.0000
0.5000 0.0000 0.0000
0.5000 0.5000 0.5000
0.0000 0.0000 0.0000
```

Summary:
- Formation energy: 967 meV/atom
- Energy above the most stable polymorph in this dataset: 0 meV per atom



NaNb3Hg | PBE-GGA | optimized geometry

Geometry as POSCAR:
```
NaNb3Hg
1.0
4.7054 0.0000 0.0000
0.0000 4.7054 0.0000
0.0000 0.0000 4.7054
Na Nb Hg
1 3 1
direct
0.0000 0.0000 0.0000
0.0000 0.0000 0.5000
0.0000 0.5000 0.0000
0.5000 0.0000 0.0000
0.5000 0.5000 0.5000
```

Summary:
- Formation energy: 1957 meV/atom
- Energy above the most stable polymorph in this dataset: 21 meV per atom



Na3NbHg | PBE-GGA | optimized geometry

Geometry as POSCAR:
```
Na3NbHg
1.0
6.0907 0.0000 0.0000
0.0000 6.0907 0.0000
0.0000 0.0000 6.0907
Na Nb Hg
3 1 1
direct
0.0000 0.0000 0.5000
0.0000 0.5000 0.0000
0.5000 0.0000 0.0000
0.0000 0.0000 0.0000
0.5000 0.5000 0.5000
```

Summary:
- Formation energy: 1108 meV/atom
- Energy above the most stable polymorph in this dataset: 141 meV per atom



NaNb3Hg | PBE-GGA | optimized geometry

Geometry as POSCAR:
```
NaNb3Hg
1.0
5.1714 0.0000 0.0000
0.0000 5.1714 0.0000
0.0000 0.0000 5.1714
Na Nb Hg
1 3 1
direct
0.0000 0.0000 0.0000
0.0000 0.5000 0.5000
0.5000 0.0000 0.5000
0.5000 0.5000 0.0000
0.5000 0.5000 0.5000
```

Summary:
- Formation energy: 1936 meV/atom
- Energy above the most stable polymorph in this dataset: 0 meV per atom